Entry 1:
# KNiPt, relaxed, DFT PBE-GGA
# space-group type: Imm2 (44)
# energy of formation from the pure elements: 0.266 eV per formula unit
# relative energy among the computed polymorphs: 0.00 eV/f.u.
data_KNiPt
_cell_length_a 6.1911
_cell_length_b 6.1911
_cell_length_c 6.1911
_cell_angle_alpha 154.39
_cell_angle_beta 141.43
_cell_angle_gamma 46.87
_symmetry_space_group_name_H-M 'P 1'
_symmetry_Int_Tables_number 1
loop_
_symmetry_equiv_pos_as_xyz
'x,y,z'
loop_
_atom_site_label
_atom_site_type_symbol
_atom_site_fract_x
_atom_site_fract_y
_atom_site_fract_z
K1 K 0.0032 0.0032 0.0000
Ni1 Ni 0.2690 0.2690 0.0000
Pt1 Pt 0.7277 0.7277 0.0000

***

Entry 2:
# Ca2TlOs, relaxed, DFT PBE-GGA
# space-group type: P4mm (99)
# energy of formation from the pure elements: 1.339 eV per formula unit
# relative energy among the computed polymorphs: 0.45 eV/f.u.
data_Ca2TlOs
_cell_length_a 3.6017
_cell_length_b 3.6017
_cell_length_c 8.1652
_cell_angle_alpha 90.00
_cell_angle_beta 90.00
_cell_angle_gamma 90.00
_symmetry_space_group_name_H-M 'P 1'
_symmetry_Int_Tables_number 1
loop_
_symmetry_equiv_pos_as_xyz
'x,y,z'
loop_
_atom_site_label
_atom_site_type_symbol
_atom_site_fract_x
_atom_site_fract_y
_atom_site_fract_z
Tl1 Tl 0.5000 0.5000 0.7005
Os1 Os 0.0000 0.0000 0.5408
Ca1 Ca 0.0000 0.0000 0.9337
Ca2 Ca 0.5000 0.5000 0.3250

***

Entry 3:
# PmHo2ErTm5, relaxed, DFT PBE-GGA
# space-group type: Cmc2_1 (36)
# energy of formation from the pure elements: 1.466 eV per formula unit
data_PmHo2ErTm5
_cell_length_a 5.5392
_cell_length_b 10.1645
_cell_length_c 10.4838
_cell_angle_alpha 90.00
_cell_angle_beta 90.00
_cell_angle_gamma 105.81
_symmetry_space_group_name_H-M 'P 1'
_symmetry_Int_Tables_number 1
loop_
_symmetry_equiv_pos_as_xyz
'x,y,z'
loop_
_atom_site_label
_atom_site_type_symbol
_atom_site_fract_x
_atom_site_fract_y
_atom_site_fract_z
Pm1 Pm 0.5838 0.1676 0.9539
Pm2 Pm 0.4162 0.8324 0.4539
Ho1 Ho 0.8872 0.7745 0.8181
Ho2 Ho 0.1106 0.2212 0.7351
Ho3 Ho 0.1128 0.2255 0.3181
Ho4 Ho 0.8894 0.7788 0.2351
Er1 Er 0.7998 0.5995 0.5119
Er2 Er 0.2002 0.4005 0.0119
Tm1 Tm 0.3877 0.7754 0.0216
Tm2 Tm 0.7183 0.4367 0.8114
Tm3 Tm 0.4789 0.9579 0.7368
Tm4 Tm 0.2989 0.5979 0.7103
Tm5 Tm 0.9816 0.9632 0.5248
Tm6 Tm 0.6123 0.2246 0.5216
Tm7 Tm 0.2817 0.5633 0.3114
Tm8 Tm 0.5211 0.0421 0.2368
Tm9 Tm 0.7011 0.4021 0.2103
Tm10 Tm 0.0184 0.0368 0.0248

***

Entry 4:
# K2AgNCl, relaxed, DFT PBE-GGA
# space-group type: P4/mmm (123)
# formation energy (no corrections): -0.404 eV per atom
data_K2AgNCl
_cell_length_a 5.7474
_cell_length_b 3.9460
_cell_length_c 5.7474
_cell_angle_alpha 90.00
_cell_angle_beta 90.00
_cell_angle_gamma 90.00
_symmetry_space_group_name_H-M 'P 1'
_symmetry_Int_Tables_number 1
loop_
_symmetry_equiv_pos_as_xyz
'x,y,z'
loop_
_atom_site_label
_atom_site_type_symbol
_atom_site_fract_x
_atom_site_fract_y
_atom_site_fract_z
K1 K 0.0000 0.0000 0.5000
K2 K 0.5000 0.0000 0.0000
N1 N 0.0000 0.0000 0.0000
Ag1 Ag 0.0000 0.5000 0.0000
Cl1 Cl 0.5000 0.5000 0.5000

***

Which V belongs to each record? In order, 21.25 26.48 31.55 26.07 Å³/atom.